(1)
Density functional theory data (GGA-PBEsol) for an optimized crystal structure of CdGeN2.

POSCAR file:
```
CdGeN2
1.0
-1.287 2.548 -4.652
-10.616 -1.032 2.372
0.294 12.424 6.724
Cd Ge N
16 16 32
Cartesian
-11.146 6.291 1.897 Cd
-5.703 6.998 3.980 Cd
-5.374 0.974 0.248 Cd
-0.996 13.618 2.761 Cd
-0.463 7.650 2.546 Cd
-5.906 6.943 0.463 Cd
-6.235 12.966 4.195 Cd
-10.613 0.322 1.683 Cd
-3.699 5.613 -0.989 Cd
-2.716 9.070 3.835 Cd
-8.285 2.094 2.122 Cd
-8.518 11.105 3.920 Cd
-7.910 8.328 5.433 Cd
-8.893 4.871 0.609 Cd
-3.324 11.847 2.322 Cd
-3.091 2.836 0.523 Cd
-1.069 4.050 -1.881 Ge
-5.068 10.082 5.731 Ge
-5.860 4.147 1.884 Ge
-11.221 9.602 3.153 Ge
-10.540 9.890 6.324 Ge
-6.541 3.859 -1.288 Ge
-5.749 9.793 2.559 Ge
-0.388 4.339 1.291 Ge
-3.958 2.486 -2.593 Ge
-2.441 12.167 5.492 Ge
-8.413 5.183 3.811 Ge
-8.405 8.046 2.175 Ge
-7.651 11.455 7.036 Ge
-9.168 1.774 -1.049 Ge
-3.196 8.758 0.632 Ge
-3.204 5.895 2.268 Ge
-5.772 4.769 0.132 N
-0.236 9.110 4.181 N
-10.754 2.496 2.014 N
-6.455 11.507 2.559 N
-5.836 9.172 4.311 N
-11.373 4.831 0.263 N
-0.855 11.445 2.429 N
-5.154 2.434 1.884 N
-3.573 6.957 0.782 N
-2.412 6.874 3.617 N
-8.674 0.724 0.409 N
-8.559 13.326 4.078 N
-8.036 6.984 3.661 N
-9.197 7.066 0.826 N
-2.935 13.217 4.034 N
-3.050 0.614 0.365 N
-5.565 2.320 -1.659 N
-0.601 11.871 5.401 N
-10.264 5.013 3.650 N
-6.787 8.678 1.494 N
-6.044 11.621 6.102 N
-11.008 2.070 -0.958 N
-1.345 8.928 0.793 N
-4.822 5.263 2.949 N
-2.881 3.652 -1.609 N
-3.260 10.489 5.443 N
-7.658 4.195 2.419 N
-9.419 9.545 2.634 N
-8.728 10.289 6.053 N
-8.349 3.451 -1.000 N
-3.951 9.746 2.025 N
-2.190 4.395 1.809 N
```

Results
Energy relative to the elements, uncorrected = -40.2 meV per atom
SG = Pbca, No. 61
E = -5.838 eV per atom

=====

(2)
Density functional theory data (GGA-PBEsol) for an optimized crystal structure of CdGeN2.

POSCAR file:
```
CdGeN2
1.0
-3.686 3.877 0.900
-1.874 -0.559 -5.267
-4.485 -4.751 2.100
Ge N Cd
4 8 4
Cartesian
-0.689 -0.631 -0.087 Ge
-7.517 -2.737 -2.629 Ge
-5.462 -1.273 -0.519 Ge
-2.744 -2.095 -2.196 Ge
-6.449 -2.757 -1.091 N
-4.784 2.573 -0.885 N
-6.559 1.405 -3.126 N
-4.673 -1.589 1.149 N
-4.109 -0.913 -1.731 N
-1.771 0.851 0.246 N
-8.948 -1.575 -2.348 N
-6.610 0.189 -0.371 N
-8.694 -0.618 -0.314 Cd
-5.247 -0.371 -3.610 Cd
-3.179 1.107 -1.506 Cd
-6.625 0.861 1.790 Cd
```

Results
Energy relative to the elements, uncorrected = -107.8 meV per atom
SG = Pna2_1, No. 33
E = -5.905 eV per atom

=====

(3)
Density functional theory data (GGA-PBEsol) for an optimized crystal structure of CdGe2N.

POSCAR file:
```
CdGe2N
1.0
-2.090 0.511 -3.960
-4.383 -0.978 -0.377
-3.008 3.310 -0.549
Ge N Cd
2 1 1
Cartesian
-2.370 0.711 -1.222 Ge
-7.111 2.133 -3.665 Ge
0.000 0.000 0.000 N
-4.741 1.422 -2.443 Cd
```

Results
Energy relative to the elements, uncorrected = 1113.1 meV per atom
SG = Fm-3m, No. 225
E = -3.787 eV per atom

=====

(4)
Density functional theory data (GGA-PBEsol) for an optimized crystal structure of CdGeOsN2.

POSCAR file:
```
CdGeOsN2
1.0
3.828 0.000 0.000
0.000 3.828 0.000
0.000 0.000 4.909
Ge N Os Cd
1 2 1 1
Cartesian
0.000 0.000 0.000 Ge
0.000 1.914 0.000 N
1.914 0.000 0.000 N
0.000 0.000 2.455 Os
1.914 1.914 2.455 Cd
```

Results
Energy relative to the elements, uncorrected = 1726.0 meV per atom
SG = P4/mmm, No. 123
E = -5.355 eV per atom

=====

(5)
Density functional theory data (GGA-PBEsol) for an optimized crystal structure of NaCd2Ge2.

POSCAR file:
```
NaCd2Ge2
1.0
-3.627 2.163 1.434
-2.488 -3.601 -0.859
3.991 -1.169 4.920
Na Ge Cd
1 2 2
Cartesian
0.000 0.000 0.000 Na
0.732 -1.481 4.086 Ge
-2.856 -1.125 1.410 Ge
-0.777 -2.744 2.174 Cd
-1.347 0.138 3.321 Cd
```

Results
E_form = -53.4 meV per atom
SG = I4/mmm, No. 139
E = -2.788 eV per atom

=====

(6)
Density functional theory data (GGA-PBEsol) for an optimized crystal structure of NaCd3Ge.

POSCAR file:
```
NaCd3Ge
1.0
-3.258 0.419 -4.054
-3.176 -3.515 2.188
-2.555 3.834 2.449
Na Ge Cd
1 1 3
Cartesian
-4.494 0.369 0.292 Na
0.000 0.000 0.000 Ge
-1.588 -1.757 1.094 Cd
-1.278 1.917 1.225 Cd
-1.629 0.210 -2.027 Cd
```

Results
E_form = 260.3 meV per atom
SG = Pm-3m, No. 221
E = -1.726 eV per atom